(1)
Density functional theory data (PBE) for a relaxed Ca2ScUP4 crystal.

ΔE_f (eV per atom): -1.177
SG: P2/m
Magnetic moment (μB/f.u.): 1.002
Calculated density (g/cm³): 4.5

Lattice parameters (Å, degrees): 6.8137 3.9952 6.9756 90.00 108.92 90.00
Sites, in units of the cell vectors:
Ca 0.0000 0.0000 0.0000
Ca 0.5000 0.5000 0.0000
Sc 0.0000 0.5000 0.5000
U 0.5000 0.0000 0.5000
P 0.2434 0.0000 0.7212
P 0.2575 0.5000 0.2766
P 0.7425 0.5000 0.7234
P 0.7566 0.0000 0.2788

***

(2)
Density functional theory data (PBE) for a relaxed TlFeAgMo2 crystal.

ΔE_f (eV per atom): 2.606
SG: P4/mmm
Magnetic moment (μB/f.u.): 0.000
Calculated density (g/cm³): 7.9

Lattice parameters (Å, degrees): 5.0174 5.0174 4.6538 90.00 90.00 90.00
Sites, in units of the cell vectors:
Tl 0.0000 0.0000 0.0000
Fe 0.0000 0.0000 0.5000
Ag 0.5000 0.5000 0.5000
Mo 0.0000 0.5000 0.0000
Mo 0.5000 0.0000 0.0000

***

(3)
Density functional theory data (PBE) for a relaxed KTcP2S8 crystal.

SG: R-3
Magnetic moment (μB/f.u.): 0.000
ΔE_f (raw) (eV per formula unit): -3.766
Calculated density (g/cm³): 2.6

Lattice parameters (Å, degrees): 10.1171 10.1171 10.1171 34.05 34.05 34.05
Sites, in units of the cell vectors:
K 0.0000 0.0000 0.0000
Tc 0.5000 0.5000 0.5000
P 0.2344 0.2344 0.2344
P 0.7656 0.7656 0.7656
S 0.1225 0.4472 0.7952
S 0.2048 0.8775 0.5528
S 0.3039 0.3039 0.3039
S 0.4472 0.7952 0.1225
S 0.5528 0.2048 0.8775
S 0.6961 0.6961 0.6961
S 0.7952 0.1225 0.4472
S 0.8775 0.5528 0.2048

***

(4)
Density functional theory data (PBE) for a relaxed HgRu3S crystal.

SG: Pm-3m
Magnetic moment (μB/f.u.): 0.000
ΔE_f (raw) (eV per formula unit): 2.268
Calculated density (g/cm³): 10.7

Lattice parameters (Å, degrees): 4.3696 4.3696 4.3696 90.00 90.00 90.00
Sites, in units of the cell vectors:
Hg 0.0000 0.0000 0.0000
Ru 0.0000 0.5000 0.5000
Ru 0.5000 0.0000 0.5000
Ru 0.5000 0.5000 0.0000
S 0.5000 0.5000 0.5000

***

(5)
Density functional theory data (PBE) for a relaxed Th3Si2PtRh9 crystal.

SG: P-3m1
Magnetic moment (μB/f.u.): 0.000
ΔE_f (raw) (eV per formula unit): -8.739
Calculated density (g/cm³): 10.4

Lattice parameters (Å, degrees): 6.0299 6.0299 9.5181 90.00 90.00 120.00
Sites, in units of the cell vectors:
Th 0.0000 0.0000 0.0000
Th 0.3333 0.6667 0.7120
Th 0.6667 0.3333 0.2880
Si 0.3333 0.6667 0.1611
Si 0.6667 0.3333 0.8389
Pt 0.0000 0.0000 0.5000
Rh 0.0000 0.5000 0.0000
Rh 0.1482 0.2964 0.2767
Rh 0.1482 0.8518 0.2767
Rh 0.2964 0.1482 0.7233
Rh 0.5000 0.0000 0.0000
Rh 0.5000 0.5000 0.0000
Rh 0.7036 0.8518 0.2767
Rh 0.8518 0.1482 0.7233
Rh 0.8518 0.7036 0.7233

***

(6)
Density functional theory data (PBE) for a relaxed YTePb2 crystal.

SG: I4/mmm
Magnetic moment (μB/f.u.): 0.000
ΔE_f (raw) (eV per formula unit): -1.865
Calculated density (g/cm³): 8.9

Lattice parameters (Å, degrees): 6.5409 6.5409 6.5409 139.35 139.35 58.83
Sites, in units of the cell vectors:
Y 0.0000 0.0000 0.0000
Te 0.5000 0.5000 0.0000
Pb 0.2500 0.7500 0.5000
Pb 0.7500 0.2500 0.5000

***

(7)
Density functional theory data (PBE) for a relaxed CeYLuCd crystal.

ΔE_f (eV per atom): -0.004
SG: F-43m
Magnetic moment (μB/f.u.): 1.547
Calculated density (g/cm³): 7.6

Lattice parameters (Å, degrees): 5.4328 5.4328 5.4328 60.00 60.00 60.00
Sites, in units of the cell vectors:
Ce 0.0000 0.0000 0.0000
Y 0.5000 0.5000 0.5000
Lu 0.7500 0.7500 0.7500
Cd 0.2500 0.2500 0.2500

***

(8)
Density functional theory data (PBE) for a relaxed CoSnGe3 crystal.

ΔE_f (eV per atom): 0.191
SG: Pm-3m
Magnetic moment (μB/f.u.): 0.000
Calculated density (g/cm³): 6.6

Lattice parameters (Å, degrees): 4.6452 4.6452 4.6452 90.00 90.00 90.00
Sites, in units of the cell vectors:
Co 0.0000 0.0000 0.0000
Sn 0.5000 0.5000 0.5000
Ge 0.0000 0.0000 0.5000
Ge 0.0000 0.5000 0.0000
Ge 0.5000 0.0000 0.0000

***

(9)
Density functional theory data (PBE) for a relaxed CeLuSnHg crystal.

ΔE_f (eV per atom): -0.469
SG: F-43m
Magnetic moment (μB/f.u.): 1.151
Calculated density (g/cm³): 9.9

Lattice parameters (Å, degrees): 5.3195 5.3195 5.3195 60.00 60.00 60.00
Sites, in units of the cell vectors:
Ce 0.0000 0.0000 0.0000
Lu 0.5000 0.5000 0.5000
Sn 0.2500 0.2500 0.2500
Hg 0.7500 0.7500 0.7500

***

(10)
Density functional theory data (PBE) for a relaxed Sr5Pt2Au crystal.

ΔE_f (eV per atom): -0.715
SG: I4/mcm
Magnetic moment (μB/f.u.): 0.000
Calculated density (g/cm³): 6.7

Lattice parameters (Å, degrees): 9.5519 9.5519 9.5519 129.28 129.28 74.56
Sites, in units of the cell vectors:
Sr 0.0000 0.0000 0.0000
Sr 0.0342 0.5342 0.8407
Sr 0.1935 0.0342 0.5000
Sr 0.3065 0.8065 0.8407
Sr 0.4658 0.3065 0.5000
Sr 0.5000 0.5000 0.0000
Sr 0.5342 0.6935 0.5000
Sr 0.6935 0.1935 0.1593
Sr 0.8065 0.9658 0.5000
Sr 0.9658 0.4658 0.1593
Pt 0.1245 0.3755 0.5000
Pt 0.3755 0.8755 0.2509
Pt 0.6245 0.1245 0.7491
Pt 0.8755 0.6245 0.5000
Au 0.2500 0.2500 0.0000
Au 0.7500 0.7500 0.0000

***

(11)
Density functional theory data (PBE) for a relaxed Tl6SbAu2 crystal.

SG: C2/m
Magnetic moment (μB/f.u.): 0.000
ΔE_f (raw) (eV per formula unit): 0.176
Calculated density (g/cm³): 11.0

Lattice parameters (Å, degrees): 6.8895 6.8895 9.3289 124.43 124.43 49.43
Sites, in units of the cell vectors:
Tl 0.0889 0.0889 0.4071
Tl 0.3248 0.3248 0.9212
Tl 0.3325 0.3325 0.2991
Tl 0.6675 0.6675 0.7009
Tl 0.6752 0.6752 0.0788
Tl 0.9111 0.9111 0.5929
Sb 0.0000 0.0000 0.0000
Au 0.4093 0.4093 0.6795
Au 0.5907 0.5907 0.3205

***

(12)
Density functional theory data (PBE) for a relaxed CsAg2SnF8 crystal.

SG: P-1
Magnetic moment (μB/f.u.): 0.995
ΔE_f (raw) (eV per formula unit): -23.622
Calculated density (g/cm³): 4.5

Lattice parameters (Å, degrees): 5.1655 5.5990 8.1970 98.99 100.58 92.08
Sites, in units of the cell vectors:
Cs 0.0000 0.0000 0.0000
Ag 0.3966 0.4873 0.7756
Ag 0.6034 0.5127 0.2244
Sn 0.0000 0.0000 0.5000
F 0.0936 0.7733 0.3096
F 0.1880 0.8074 0.6695
F 0.3253 0.2258 0.5285
F 0.4881 0.7287 0.0202
F 0.5119 0.2713 0.9798
F 0.6747 0.7742 0.4715
F 0.8120 0.1926 0.3305
F 0.9064 0.2267 0.6904

***

Summary of DOS(E_F) in states/eV per cell
5.56, 12.98, 5.36, 5.40, 7.37, 2.57, 7.49, 4.32, 8.90, 9.07, 3.64, 0.54
(order as listed above)